[1]
Computed, not measured: a geometry-optimized NaLa3Os structure at the PBE-GGA level of DFT.

Cell: 4.4125 4.4125 10.0539 Å, 90.00 90.00 90.00°
Positions (direct):
Na 0.0000 0.0000 0.0000
La 0.0000 0.0000 0.6024
La 0.0000 0.5000 0.3203
La 0.5000 0.0000 0.3203
Os 0.5000 0.5000 0.5206

## Properties
Magnetic moment: 0.000 μB/atom
Energy relative to the lowest polymorph listed for this composition: 0.425 eV/atom
N(E_F): 5.60 states/eV/f.u.
Calculated formation energy: 334 meV per atom


[2]
Computed, not measured: a geometry-optimized Sc2SeBr structure at the PBE-GGA level of DFT.

Cell: 3.4089 3.4089 6.8713 Å, 90.00 90.00 90.00°
Positions (direct):
Sc 0.0000 0.0000 0.2291
Sc 0.0000 0.0000 0.7709
Se 0.5000 0.5000 0.0000
Br 0.5000 0.5000 0.5000

## Properties
E_form (uncorrected): -1.016 eV/atom
Magnetic moment: 0.130 μB/atom
Energy relative to the lowest polymorph listed for this composition: 0.221 eV/atom
N(E_F): 4.57 states/eV/f.u.


[3]
Computed, not measured: a geometry-optimized NiAsRuSe2 structure at the PBE-GGA level of DFT.

Cell: 4.9394 4.9394 4.5991 Å, 90.00 90.00 90.00°
Positions (direct):
Ni 0.0000 0.0000 0.0000
As 0.5000 0.5000 0.0000
Ru 0.5000 0.5000 0.5000
Se 0.0000 0.5000 0.5000
Se 0.5000 0.0000 0.5000

## Properties
E_form (uncorrected): 0.856 eV/atom
Magnetic moment: 0.275 μB/atom
Energy relative to the lowest polymorph listed for this composition: 0.070 eV/atom
N(E_F): 7.70 states/eV/f.u.


[4]
Computed, not measured: a geometry-optimized TaVGa2Pd structure at the PBE-GGA level of DFT.

Cell: 4.9697 4.9697 4.5261 Å, 90.00 90.00 90.00°
Positions (direct):
Ta 0.0000 0.0000 0.0000
V 0.0000 0.0000 0.5000
Ga 0.0000 0.5000 0.0000
Ga 0.5000 0.0000 0.0000
Pd 0.5000 0.5000 0.5000

## Properties
Magnetic moment: 0.115 μB/atom
N(E_F): 3.95 states/eV/f.u.
Calculated formation energy: 1018 meV per atom


- Which of these has the highest N(E_F)?
  NiAsRuSe2


- N(E_F) of number 1 (NaLa3Os)?
  5.60 states/eV/f.u.


- N(E_F) of number 3 (NiAsRuSe2)?
  7.70 states/eV/f.u.


- What is the magnetic moment in the second record?
  0.130 μB/atom